(1)
{"formula": "KCo2W", "functional": "PBEsol", "state": "relaxed", "e_tot_ev_per_atom": -6.699, "vol_a3_per_fu": 69.28, "delta_e_f_ev_per_atom": 0.9050, "space_group": "P4mm (99)", "lattice_angstrom": [[2.903, 0.000, 0.000], [0.000, 2.903, 0.000], [0.000, 0.000, 8.220]], "species": ["K", "Co", "Co", "W"], "frac_coords": [[0.000, 0.000, 0.000], [0.000, 0.000, 0.557], [0.500, 0.500, 0.685], [0.500, 0.500, 0.376]]}

(2)
{"formula": "KCoW2", "functional": "PBEsol", "state": "relaxed", "e_tot_ev_per_atom": -7.950, "polymorph_energy_mev_per_atom": 249.5, "vol_a3_per_fu": 82.17, "delta_e_f_ev_per_atom": 1.1715, "space_group": "P4/mmm (123)", "lattice_angstrom": [[3.175, 0.000, 0.000], [0.000, 3.175, 0.000], [0.000, 0.000, 8.154]], "species": ["K", "Co", "W", "W"], "frac_coords": [[0.000, 0.000, 0.000], [0.000, 0.000, 0.500], [0.500, 0.500, 0.359], [0.500, 0.500, 0.641]]}